<one>
The following is a PBE calculation of a relaxed structure of Ca2Cd3Pb, from Alexandria.

## Properties
Its magnetization is 0.0000 μB/atom.

Unit cell a=7.398 b=10.113 c=17.455 alpha=90.00 beta=90.00 gamma=90.00
Space group Fmmm (No. 69)
Symmetry-distinct sites (fractional):
Ca  0.250  0.000  0.000 (multiplicity 8)
Ca  0.250  0.250  0.250 (multiplicity 8)
Cd  0.000  0.000  0.163 (multiplicity 8)
Cd  0.000  0.245  0.081 (multiplicity 16)
Pb  0.000  0.000  0.335 (multiplicity 8)

<two>
The following is a PBE calculation of a relaxed structure of Ca2Cd3Pb, from Alexandria.

## Properties
Its magnetization is 0.0000 μB/atom.

Unit cell a=3.864 b=4.903 c=18.624 alpha=90.00 beta=90.00 gamma=90.00
Space group Imm2 (No. 44)
Symmetry-distinct sites (fractional):
Ca  0.000  0.000  0.000 (multiplicity 2)
Ca  0.000  0.500  0.253 (multiplicity 2)
Cd  0.000  0.000  0.427 (multiplicity 2)
Cd  0.000  0.500  0.671 (multiplicity 2)
Cd  0.000  0.500  0.821 (multiplicity 2)
Pb  0.000  0.000  0.585 (multiplicity 2)

Order from most stable to least stable according to the calculation: <one>, <two>

<one>
The following is a PBE calculation of a relaxed structure of CaCd3Pb3, from Alexandria.

## Properties
Its magnetization is 0.0000 μB/atom.

Unit cell a=8.144 b=8.144 c=8.144 alpha=90.00 beta=90.00 gamma=90.00
Space group Pm-3n (No. 223)
Symmetry-distinct sites (fractional):
Ca  0.000  0.000  0.000 (multiplicity 2)
Cd  0.000  0.250  0.500 (multiplicity 6)
Pb  0.000  0.500  0.250 (multiplicity 6)

<two>
The following is a PBE calculation of a relaxed structure of CaCd3Pb3, from Alexandria.

## Properties
Its magnetization is 0.0000 μB/atom.

Unit cell a=8.5117 b=8.5117 c=20.1323 alpha=90.00 beta=90.00 gamma=120.00
Space group R-3 (No. 148, hexagonal axes)
Symmetry-distinct sites (fractional):
Ca  0.0000  0.0000  0.1680 (multiplicity 6)
Cd  0.0078  0.5944  0.6152 (multiplicity 18)
Pb  0.0102  0.7610  0.4332 (multiplicity 18)

Order from most stable to least stable according to the calculation: <two>, <one>

<one>
The following is a PBE calculation of a relaxed structure of Ca3CdPb, from Alexandria.

## Properties
Its magnetization is 0.0000 μB/atom.

Unit cell a=6.005 b=6.005 c=6.005 alpha=90.00 beta=90.00 gamma=90.00
Space group Pm-3m (No. 221)
Symmetry-distinct sites (fractional):
Ca  0.000  0.000  0.500 (multiplicity 3)
Cd  0.500  0.500  0.500 (multiplicity 1)
Pb  0.000  0.000  0.000 (multiplicity 1)

<two>
The following is a PBE calculation of a relaxed structure of Ca3CdPb, from Alexandria.

## Properties
Its magnetization is 0.0000 μB/atom.

Unit cell a=5.437 b=21.522 c=5.440 alpha=90.00 beta=90.00 gamma=90.00
Space group Cmcm (No. 63)
Symmetry-distinct sites (fractional):
Ca  0.000  0.068  0.250 (multiplicity 4)
Ca  0.000  0.250  0.250 (multiplicity 4)
Ca  0.000  0.431  0.250 (multiplicity 4)
Cd  0.000  0.155  0.750 (multiplicity 4)
Pb  0.000  0.341  0.750 (multiplicity 4)

Order from most stable to least stable according to the calculation: <two>, <one>

<one>
The following is a PBE calculation of a relaxed structure of Ca4CdPb2, from Alexandria.

## Properties
Its magnetization is 0.0000 μB/atom.

Unit cell a=5.798 b=5.798 c=15.788 alpha=90.00 beta=90.00 gamma=90.00
Space group I4/mmm (No. 139)
Symmetry-distinct sites (fractional):
Ca  0.000  0.000  0.193 (multiplicity 4)
Ca  0.000  0.500  0.000 (multiplicity 4)
Cd  0.000  0.000  0.000 (multiplicity 2)
Pb  0.000  0.000  0.391 (multiplicity 4)

<two>
The following is a PBE calculation of a relaxed structure of Ca4CdPb2, from Alexandria.

## Properties
Its magnetization is 0.0000 μB/atom.

Unit cell a=5.4563 b=5.4563 c=26.6134 alpha=90.00 beta=90.00 gamma=120.00
Space group R-3m (No. 166, hexagonal axes)
Symmetry-distinct sites (fractional):
Ca  0.0000  0.0000  0.1245 (multiplicity 6)
Ca  0.0000  0.0000  0.3751 (multiplicity 6)
Cd  0.0000  0.0000  0.5000 (multiplicity 3)
Pb  0.0000  0.0000  0.2517 (multiplicity 6)

Order from most stable to least stable according to the calculation: <two>, <one>

<one>
The following is a PBE calculation of a relaxed structure of RbCa2CdPb, from Alexandria.

## Properties
Its magnetization is 0.0000 μB/atom.

Unit cell a=6.649 b=6.649 c=5.973 alpha=90.00 beta=90.00 gamma=90.00
Space group P4/mmm (No. 123)
Symmetry-distinct sites (fractional):
Rb  0.000  0.000  0.000 (multiplicity 1)
Ca  0.000  0.500  0.000 (multiplicity 2)
Cd  0.500  0.500  0.500 (multiplicity 1)
Pb  0.000  0.000  0.500 (multiplicity 1)

<two>
The following is a PBE calculation of a relaxed structure of RbCa2CdPb, from Alexandria.

## Properties
Its magnetization is 0.0000 μB/atom.

Unit cell a=6.007 b=6.007 c=6.233 alpha=90.00 beta=90.00 gamma=90.00
Space group P4/mmm (No. 123)
Symmetry-distinct sites (fractional):
Rb  0.000  0.000  0.000 (multiplicity 1)
Ca  0.000  0.500  0.500 (multiplicity 2)
Cd  0.000  0.000  0.500 (multiplicity 1)
Pb  0.500  0.500  0.000 (multiplicity 1)

Order from most stable to least stable according to the calculation: <two>, <one>

<one>
The following is a PBE calculation of a relaxed structure of CaTlCdPb, from Alexandria.

## Properties
Its magnetization is 0.0000 μB/atom.

Unit cell a=4.664 b=4.831 c=4.936 alpha=90.00 beta=90.00 gamma=90.00
Space group Pmmm (No. 47)
Symmetry-distinct sites (fractional):
Ca  0.000  0.000  0.000 (multiplicity 1)
Tl  0.500  0.000  0.500 (multiplicity 1)
Cd  0.000  0.500  0.500 (multiplicity 1)
Pb  0.500  0.500  0.000 (multiplicity 1)

<two>
The following is a PBE calculation of a relaxed structure of CaTlCdPb, from Alexandria.

## Properties
Its magnetization is 0.0000 μB/atom.

Unit cell a=7.684 b=7.684 c=7.684 alpha=90.00 beta=90.00 gamma=90.00
Space group F-43m (No. 216)
Symmetry-distinct sites (fractional):
Ca  0.000  0.000  0.000 (multiplicity 4)
Tl  0.250  0.250  0.250 (multiplicity 4)
Cd  0.000  0.000  0.500 (multiplicity 4)
Pb  0.250  0.250  0.750 (multiplicity 4)

Order from most stable to least stable according to the calculation: <one>, <two>

<one>
The following is a PBE calculation of a relaxed structure of Ca3CdPd3, from Alexandria.

## Properties
Its magnetization is 0.0000 μB/atom.

Unit cell a=8.7226 b=8.7226 c=4.9499 alpha=90.00 beta=90.00 gamma=120.00
Space group P6_3/m (No. 176)
Symmetry-distinct sites (fractional):
Ca  0.0843  0.4108  0.2500 (multiplicity 6)
Cd  0.3333  0.6667  0.7500 (multiplicity 2)
Pd  0.0450  0.2074  0.7500 (multiplicity 6)

<two>
The following is a PBE calculation of a relaxed structure of Ca3CdPd3, from Alexandria.

## Properties
Its magnetization is 0.0000 μB/atom.

Unit cell a=4.415 b=10.571 c=14.110 alpha=90.00 beta=90.00 gamma=90.00
Space group Cmcm (No. 63)
Symmetry-distinct sites (fractional):
Ca  0.000  0.023  0.250 (multiplicity 4)
Ca  0.000  0.300  0.105 (multiplicity 8)
Cd  0.000  0.000  0.000 (multiplicity 4)
Pd  0.000  0.262  0.750 (multiplicity 4)
Pd  0.000  0.409  0.593 (multiplicity 8)

Order from most stable to least stable according to the calculation: <two>, <one>

<one>
The following is a PBE calculation of a relaxed structure of CaCd3Pd, from Alexandria.

## Properties
Its magnetization is 0.0000 μB/atom.

Unit cell a=5.790 b=5.790 c=5.790 alpha=90.00 beta=90.00 gamma=90.00
Space group Pm-3m (No. 221)
Symmetry-distinct sites (fractional):
Ca  0.000  0.000  0.000 (multiplicity 1)
Cd  0.000  0.000  0.500 (multiplicity 3)
Pd  0.500  0.500  0.500 (multiplicity 1)

<two>
The following is a PBE calculation of a relaxed structure of CaCd3Pd, from Alexandria.

## Properties
Its magnetization is 0.0000 μB/atom.

Unit cell a=5.183 b=5.183 c=5.183 alpha=90.00 beta=90.00 gamma=90.00
Space group Pm-3m (No. 221)
Symmetry-distinct sites (fractional):
Ca  0.000  0.000  0.000 (multiplicity 1)
Cd  0.000  0.500  0.500 (multiplicity 3)
Pd  0.500  0.500  0.500 (multiplicity 1)

<three>
The following is a PBE calculation of a relaxed structure of CaCd3Pd, from Alexandria.

## Properties
Its magnetization is 0.0000 μB/atom.

Unit cell a=7.081 b=4.397 c=7.857 alpha=90.00 beta=104.94 gamma=90.00
Space group P2_1/m (No. 11)
Symmetry-distinct sites (fractional):
Ca  0.208  0.250  0.180 (multiplicity 2)
Cd  0.074  0.250  0.655 (multiplicity 2)
Cd  0.311  0.750  0.897 (multiplicity 2)
Cd  0.343  0.750  0.520 (multiplicity 2)
Pd  0.480  0.250  0.756 (multiplicity 2)

Order from most stable to least stable according to the calculation: <three>, <two>, <one>

<one>
The following is a PBE calculation of a relaxed structure of Ca4CdPd, from Alexandria.

## Properties
Its magnetization is 0.0000 μB/atom.

Unit cell a=9.319 b=13.896 c=6.144 alpha=90.00 beta=112.07 gamma=90.00
Space group C2/c (No. 15)
Symmetry-distinct sites (fractional):
Ca  0.113  0.174  0.066 (multiplicity 8)
Ca  0.210  0.426  0.344 (multiplicity 8)
Cd  0.000  0.373  0.750 (multiplicity 4)
Pd  0.000  0.001  0.250 (multiplicity 4)

<two>
The following is a PBE calculation of a relaxed structure of Ca4CdPd, from Alexandria.

## Properties
Its magnetization is 0.0236 μB/atom.

Unit cell a=14.301 b=14.301 c=14.301 alpha=90.00 beta=90.00 gamma=90.00
Space group F-43m (No. 216)
Symmetry-distinct sites (fractional):
Ca  0.000  0.000  0.191 (multiplicity 24)
Ca  0.054  0.250  0.750 (multiplicity 24)
Ca  0.098  0.098  0.402 (multiplicity 16)
Cd  0.170  0.170  0.170 (multiplicity 16)
Pd  0.110  0.110  0.610 (multiplicity 16)

Order from most stable to least stable according to the calculation: <two>, <one>

<one>
The following is a PBE calculation of a relaxed structure of CaCdPdPt, from Alexandria.

## Properties
Its magnetization is 0.0000 μB/atom.

Unit cell a=4.452 b=4.452 c=7.718 alpha=90.00 beta=90.00 gamma=90.00
Space group I-4m2 (No. 119)
Symmetry-distinct sites (fractional):
Ca  0.000  0.000  0.000 (multiplicity 2)
Cd  0.000  0.000  0.500 (multiplicity 2)
Pd  0.000  0.500  0.750 (multiplicity 2)
Pt  0.000  0.500  0.250 (multiplicity 2)

<two>
The following is a PBE calculation of a relaxed structure of CaCdPdPt, from Alexandria.

## Properties
Its magnetization is 0.0000 μB/atom.

Unit cell a=6.757 b=6.757 c=6.757 alpha=90.00 beta=90.00 gamma=90.00
Space group F-43m (No. 216)
Symmetry-distinct sites (fractional):
Ca  0.000  0.000  0.000 (multiplicity 4)
Cd  0.000  0.000  0.500 (multiplicity 4)
Pd  0.250  0.250  0.750 (multiplicity 4)
Pt  0.250  0.250  0.250 (multiplicity 4)

Order from most stable to least stable according to the calculation: <one>, <two>

<one>
The following is a PBE calculation of a relaxed structure of CaScCdPd, from Alexandria.

## Properties
Its magnetization is 0.0000 μB/atom.

Unit cell a=3.471 b=3.471 c=7.472 alpha=90.00 beta=90.00 gamma=90.00
Space group P4mm (No. 99)
Symmetry-distinct sites (fractional):
Ca  0.000  0.000  0.000 (multiplicity 1)
Sc  0.000  0.000  0.549 (multiplicity 1)
Cd  0.500  0.500  0.301 (multiplicity 1)
Pd  0.500  0.500  0.726 (multiplicity 1)

<two>
The following is a PBE calculation of a relaxed structure of CaScCdPd, from Alexandria.

## Properties
Its magnetization is 0.0000 μB/atom.

Unit cell a=7.070 b=7.070 c=7.070 alpha=90.00 beta=90.00 gamma=90.00
Space group F-43m (No. 216)
Symmetry-distinct sites (fractional):
Ca  0.000  0.000  0.000 (multiplicity 4)
Sc  0.000  0.000  0.500 (multiplicity 4)
Cd  0.250  0.250  0.750 (multiplicity 4)
Pd  0.250  0.250  0.250 (multiplicity 4)

Order from most stable to least stable according to the calculation: <one>, <two>